# 1
The following is a PBE calculation of crystalline CeAl11Fe at its relaxed geometry, from the Alexandria database.

Cell lengths 5.1774, 7.1120, 6.8036 Å; angles 82.40, 67.64, 69.66 degrees
Last column: nearest neighbours and their distance in Å.
Fractional coordinates of all 13 atoms:
Al 0.0000 0.5000 0.0000  2 Fe 2.59, 8 Al 2.63-2.71
Fe 0.5000 0.5000 0.0000  10 Al 2.56-2.65
Al 0.5000 0.0000 0.5000  8 Al 2.59-2.86
Al 0.5003 0.2294 0.7864  1 Fe 2.56, 6 Al 2.63-2.85
Al 0.0235 0.6385 0.3429  1 Fe 2.65, 7 Al 2.71-2.96
Al 0.7132 0.7706 0.7864  1 Fe 2.56, 6 Al 2.63-2.85
Al 0.3664 0.6385 0.6571  1 Fe 2.65, 7 Al 2.71-2.96
Ce 0.0000 0.0000 0.0000  18 Al 3.24-3.56, 2 Fe 3.60
Al 0.6336 0.3615 0.3429  1 Fe 2.65, 7 Al 2.71-2.96
Al 0.9765 0.3615 0.6571  1 Fe 2.65, 7 Al 2.71-2.96
Al 0.2868 0.2294 0.2136  1 Fe 2.56, 6 Al 2.63-2.85
Al 0.0000 0.0000 0.5000  8 Al 2.59-2.86
Al 0.4997 0.7706 0.2136  1 Fe 2.56, 6 Al 2.63-2.85

Formation energy   -2.72 eV/f.u.
Calculated total energy   -58.3 eV per formula unit
M_tot   0.35 μB per formula unit

# 2
The following is a PBE calculation of crystalline BeSiAu2 at its relaxed geometry, from the Alexandria database.

Cell lengths 8.2949, 8.2949, 8.2949 Å; angles 20.51, 20.51, 20.51 degrees
Last column: nearest neighbours and their distance in Å.
Fractional coordinates of all 4 atoms:
Si 0.7500 0.7500 0.7500  6 Au 2.83, 6 Si 2.95
Au 0.9907 0.9907 0.9907  3 Be 2.48
Au 0.5093 0.5093 0.5093  3 Be 2.48
Be 0.2500 0.2500 0.2500  6 Au 2.48

ΔE_f (raw)   0.1297 eV per atom
Calculated total energy   -15.2 eV per formula unit
M_tot   0.00 μB per formula unit

# 3
The following is a PBE calculation of crystalline TlTc2Ru at its relaxed geometry, from the Alexandria database.

Cell lengths 4.9741, 4.9741, 4.9741 Å; angles 133.23, 133.23, 68.29 degrees
Last column: nearest neighbours and their distance in Å.
Fractional coordinates of all 4 atoms:
Tc 0.2500 0.7500 0.5000  4 Ru 2.79, 4 Tc 2.85, 4 Tl 2.85
Tl 0.5000 0.5000 0.0000  8 Tc 2.79-2.85, 4 Ru 2.85
Ru 0.7500 0.2500 0.5000  8 Tc 2.79-2.85, 4 Tl 2.85
Tc 0.0000 0.0000 0.0000  4 Tl 2.79, 4 Tc 2.85, 4 Ru 2.85

Formation energy   2.35 eV/f.u.
Distance to the lowest polymorph of the same formula   188 meV/atom
Calculated total energy   -30.0 eV per formula unit
M_tot   0.01 μB per formula unit

# 4
The following is a PBE calculation of crystalline ReIr3Pt at its relaxed geometry, from the Alexandria database.

Cell lengths 4.7237, 4.7237, 4.7237 Å; angles 90.00, 90.00, 90.00 degrees
Last column: nearest neighbours and their distance in Å.
Fractional coordinates of all 5 atoms:
Ir 0.0000 0.0000 0.5000  2 Pt 2.36
Pt 0.0000 0.0000 0.0000  6 Ir 2.36
Ir 0.0000 0.5000 0.0000  2 Pt 2.36
Re 0.5000 0.5000 0.5000  12 Ir 3.34
Ir 0.5000 0.0000 0.0000  2 Pt 2.36

Formation energy   12.98 eV/f.u.
Distance to the lowest polymorph of the same formula   732 meV/atom
Calculated total energy   -32.1 eV per formula unit
M_tot   1.48 μB per formula unit

# 5
The following is a PBE calculation of crystalline Ba4SrMg at its relaxed geometry, from the Alexandria database.

Cell lengths 4.4166, 4.4166, 17.0860 Å; angles 90.00, 90.00, 90.00 degrees
Last column: nearest neighbours and their distance in Å.
Fractional coordinates of all 6 atoms:
Ba 0.0000 0.0000 0.3769  4 Mg 3.77, 1 Ba 4.21
Sr 0.0000 0.0000 0.0000  8 Ba 4.40, 4 Sr 4.42
Ba 0.5000 0.5000 0.8188  4 Sr 4.40, 8 Ba 4.42-4.58
Ba 0.0000 0.0000 0.6231  4 Mg 3.77, 1 Ba 4.21
Ba 0.5000 0.5000 0.1812  4 Sr 4.40, 8 Ba 4.42-4.58
Mg 0.5000 0.5000 0.5000  8 Ba 3.77

Formation energy   -0.03 eV/f.u.
Distance to the lowest polymorph of the same formula   0 meV/atom
Calculated total energy   -11.0 eV per formula unit
M_tot   0.00 μB per formula unit

# 6
The following is a PBE calculation of crystalline KTiBeSe3 at its relaxed geometry, from the Alexandria database.

Cell lengths 3.7325, 9.0112, 9.3028 Å; angles 113.03, 90.00, 90.00 degrees
Last column: nearest neighbours and their distance in Å.
Fractional coordinates of all 12 atoms:
Be 0.7500 0.9168 0.3977  4 Se 2.21-2.30
Se 0.2500 0.8087 0.4606  3 Be 2.29-2.30
Se 0.7500 0.8628 0.1444  1 Be 2.21
Se 0.7500 0.1913 0.5394  3 Be 2.29-2.30
Ti 0.7500 0.3532 0.8740  5 Se 2.54-2.65
Se 0.7500 0.4699 0.1706  3 Ti 2.54-2.59
Be 0.2500 0.0832 0.6023  4 Se 2.21-2.30
K 0.2500 0.1991 0.2359  7 Se 3.31-3.41
Se 0.2500 0.1372 0.8556  1 Be 2.21
Se 0.2500 0.5301 0.8294  3 Ti 2.54-2.59
Ti 0.2500 0.6468 0.1260  5 Se 2.54-2.65
K 0.7500 0.8009 0.7641  7 Se 3.31-3.41

ΔE_f (raw)   -1.0856 eV per atom
Calculated total energy   -29.7 eV per formula unit
M_tot   1.00 μB per formula unit

Copy entry 5 word for word.
The following is a PBE calculation of crystalline Ba4SrMg at its relaxed geometry, from the Alexandria database.

Cell lengths 4.4166, 4.4166, 17.0860 Å; angles 90.00, 90.00, 90.00 degrees
Last column: nearest neighbours and their distance in Å.
Fractional coordinates of all 6 atoms:
Ba 0.0000 0.0000 0.3769  4 Mg 3.77, 1 Ba 4.21
Sr 0.0000 0.0000 0.0000  8 Ba 4.40, 4 Sr 4.42
Ba 0.5000 0.5000 0.8188  4 Sr 4.40, 8 Ba 4.42-4.58
Ba 0.0000 0.0000 0.6231  4 Mg 3.77, 1 Ba 4.21
Ba 0.5000 0.5000 0.1812  4 Sr 4.40, 8 Ba 4.42-4.58
Mg 0.5000 0.5000 0.5000  8 Ba 3.77

Formation energy   -0.03 eV/f.u.
Distance to the lowest polymorph of the same formula   0 meV/atom
Calculated total energy   -11.0 eV per formula unit
M_tot   0.00 μB per formula unit

- Look up the calculated total energy of the second one.
  -15.2 eV per formula unit